Material: CaPdS2
Method: DFT, PBE
State: relaxed

## Properties
**Final energy**: -4.522 eV/atom
**Magnetic moment**: 5.4 Bohr magnetons per cell
**Crystal system**: cubic
**Formation energy without anion corrections**: -0.66 eV per atom
**Calculated density**: 4791 kg/m3

abc: 6.6343 6.6343 6.6343
angles: 90.00 90.00 90.00
Last column: nearest neighbours and their distance in Å.
Space group Fm-3m (No. 225)
One atom of each set of equivalent atoms:
Ca (0.0000, 0.0000, 0.0000)  8 S 2.87
Pd (0.0000, 0.0000, 0.5000)  8 S 2.87
S (0.2500, 0.2500, 0.2500)  4 Ca 2.87, 4 Pd 2.87